1.
Computed, not measured: crystalline BaBiF3 at its relaxed geometry at the PBE level of DFT.

```
BaBiF3
1.0
-0.306 2.317 4.314
-3.258 -3.324 1.554
3.656 -2.767 1.746
Bi Ba F
1 1 3
Direct
0.000 0.000 0.000
0.500 0.500 0.500
0.000 0.000 0.500
0.000 0.500 0.000
0.500 0.000 0.000
```

Values from the calculation:
raw formation energy = -2.09 eV/atom
symmetry = Pm-3m
energy relative to the lowest polymorph listed for this composition = 2.00 kcal/mol of atoms


2.
Computed, not measured: crystalline Dy3Tm2Ga2 at its relaxed geometry at the PBE level of DFT.

```
Dy3Tm2Ga2
1.0
-0.354 -3.343 1.474
6.153 0.120 -2.819
-0.241 3.536 7.959
Ga Tm Dy
2 2 3
Direct
0.813 0.626 0.784
0.187 0.374 0.216
0.144 0.288 0.810
0.856 0.712 0.190
0.500 0.000 0.000
0.612 0.224 0.437
0.388 0.776 0.563
```

Values from the calculation:
symmetry = C2/m
formation energy from the elements = -0.329 eV/atom


3.
Computed, not measured: crystalline Na2NbAl at its relaxed geometry at the PBE level of DFT.

```
Na2NbAl
1.0
8.462 0.000 0.000
0.000 8.462 0.000
4.231 4.231 2.760
Na Nb Al
4 2 2
Direct
0.604 0.125 0.250
0.875 0.854 0.750
0.146 0.625 0.250
0.375 0.396 0.750
0.000 0.000 0.000
0.750 0.250 0.500
0.500 0.500 0.000
0.250 0.750 0.500
```

Values from the calculation:
symmetry = I-42d
formation energy from the elements = 0.977 eV/atom
energy relative to the lowest polymorph listed for this composition = 0.00 kcal/mol of atoms


4.
Computed, not measured: crystalline BaTlHg3 at its relaxed geometry at the PBE level of DFT.

```
BaTlHg3
1.0
5.762 0.000 0.000
0.000 5.762 0.000
0.000 0.000 5.762
Hg Ba Tl
3 1 1
Direct
0.000 0.000 0.500
0.000 0.500 0.000
0.500 0.000 0.000
0.500 0.500 0.500
0.000 0.000 0.000
```

Values from the calculation:
symmetry = Pm-3m
formation energy from the elements = -0.057 eV/atom
energy relative to the lowest polymorph listed for this composition = 6.28 kcal/mol of atoms


5.
Computed, not measured: crystalline MgBPdO4 at its relaxed geometry at the PBE level of DFT.

```
MgBPdO4
1.0
4.831 -0.013 0.000
-1.952 4.419 0.000
0.000 0.000 6.275
O Pd B Mg
8 2 2 2
Direct
0.751 0.249 0.564
0.751 0.249 0.936
0.249 0.751 0.436
0.249 0.751 0.064
0.801 0.735 0.250
0.265 0.199 0.250
0.199 0.265 0.750
0.735 0.801 0.750
0.797 0.203 0.250
0.203 0.797 0.750
0.861 0.139 0.750
0.139 0.861 0.250
0.500 0.500 0.000
0.500 0.500 0.500
```

Values from the calculation:
raw formation energy = -1.61 eV/atom
symmetry = Cmcm


6.
Computed, not measured: crystalline K3Zn2F9 at its relaxed geometry at the PBE level of DFT.

```
K3Zn2F9
1.0
-3.730 -3.122 3.091
5.639 -1.157 0.264
0.713 4.769 5.678
F Zn K
9 2 3
Direct
0.349 0.175 0.306
0.000 0.500 0.000
0.500 0.500 0.000
0.651 0.825 0.694
0.500 0.000 0.000
0.175 0.349 0.694
0.825 0.651 0.306
0.175 0.825 0.694
0.825 0.175 0.306
0.333 0.667 0.844
0.667 0.333 0.156
0.333 0.667 0.367
0.000 0.000 0.000
0.667 0.333 0.633
```

Values from the calculation:
raw formation energy = -2.23 eV/atom
symmetry = P-3m1


7.
Computed, not measured: crystalline Th2Zn3CrNi12 at its relaxed geometry at the PBE level of DFT.

```
Th2Zn3CrNi12
1.0
8.776 1.555 1.103
5.686 6.863 1.103
5.686 3.310 6.112
Ni Zn Th Cr
12 3 2 1
Direct
0.421 0.421 0.810
0.921 0.358 0.921
0.358 0.921 0.921
0.079 0.642 0.079
0.190 0.579 0.579
0.921 0.921 0.358
0.079 0.079 0.642
0.810 0.421 0.421
0.579 0.579 0.190
0.579 0.190 0.579
0.642 0.079 0.079
0.421 0.810 0.421
0.500 0.000 0.000
0.000 0.500 0.000
0.000 0.000 0.500
0.651 0.651 0.651
0.349 0.349 0.349
0.000 0.000 0.000
```

Values from the calculation:
symmetry = R-3m
formation energy from the elements = 0.082 eV/atom


8.
Computed, not measured: crystalline P4RhPb at its relaxed geometry at the PBE level of DFT.

```
P4RhPb
1.0
-3.486 -3.061 2.770
0.292 -0.224 5.391
-3.836 2.326 3.013
P Rh Pb
4 1 1
Direct
0.931 0.356 0.356
0.356 0.356 0.356
0.356 0.356 0.931
0.356 0.931 0.356
0.000 0.000 0.000
0.750 0.750 0.750
```

Values from the calculation:
symmetry = F-43m
formation energy from the elements = 0.601 eV/atom


9.
Computed, not measured: crystalline AcNdSmGd at its relaxed geometry at the PBE level of DFT.

```
AcNdSmGd
1.0
-3.386 -1.985 4.429
1.731 -4.681 3.180
1.746 0.715 5.609
Nd Sm Gd Ac
1 1 1 1
Direct
0.250 0.250 0.250
0.000 0.000 0.000
0.750 0.750 0.750
0.500 0.500 0.500
```

Values from the calculation:
symmetry = F-43m
formation energy from the elements = 0.130 eV/atom


10.
Computed, not measured: crystalline HoThMgRu at its relaxed geometry at the PBE level of DFT.

```
HoThMgRu
1.0
-0.438 -4.393 -2.570
4.149 -2.222 -1.986
1.793 -4.334 2.025
Ru Th Mg Ho
1 1 1 1
Direct
0.250 0.250 0.250
0.000 0.000 0.000
0.750 0.750 0.750
0.500 0.500 0.500
```

Values from the calculation:
symmetry = F-43m
formation energy from the elements = -0.138 eV/atom


11.
Computed, not measured: crystalline KIrW2 at its relaxed geometry at the PBE level of DFT.

```
KIrW2
1.0
-2.048 2.360 3.072
-2.648 -3.389 0.838
3.540 -3.566 8.225
W Ir K
4 2 2
Direct
0.375 0.281 0.750
0.031 0.625 0.250
0.719 0.125 0.250
0.875 0.969 0.750
0.750 0.250 0.500
0.000 0.000 0.000
0.500 0.500 0.000
0.250 0.750 0.500
```

Values from the calculation:
symmetry = I-42d
formation energy from the elements = 1.647 eV/atom
energy relative to the lowest polymorph listed for this composition = 22.90 kcal/mol of atoms


12.
Computed, not measured: crystalline Tc2NiIN at its relaxed geometry at the PBE level of DFT.

```
Tc2NiIN
1.0
-3.336 -1.037 2.413
1.269 -3.660 0.182
2.229 0.946 3.488
Tc I N Ni
2 1 1 1
Direct
0.000 0.000 0.500
0.500 0.000 0.000
0.500 0.500 0.500
0.000 0.000 0.000
0.000 0.500 0.000
```

Values from the calculation:
raw formation energy = 0.66 eV/atom
symmetry = P4/mmm